Entry 1:
The following is a DFT calculation (PBE) of a geometry-optimized CaTmPd4 structure.

a b c (Å): 7.6827 7.6827 7.6827
angles (deg): 90.00 90.00 90.00
Space group F-43m (No. 216)
Symmetry-distinct sites (fractional):
Ca: 0.0000 0.0000 0.0000 (multiplicity 4)
Tm: 0.2500 0.2500 0.2500 (multiplicity 4)
Pd: 0.1249 0.1249 0.6249 (multiplicity 16)

Results
Calculated volume   18.89 A^3/atom
Calculated formation energy   -0.7376 eV per atom

=====

Entry 2:
The following is a DFT calculation (PBE) of a geometry-optimized VSbW3 structure.

a b c (Å): 4.6087 4.6087 4.6087
angles (deg): 90.00 90.00 90.00
Space group Pm-3m (No. 221)
Symmetry-distinct sites (fractional):
V: 0.0000 0.0000 0.0000 (multiplicity 1)
Sb: 0.5000 0.5000 0.5000 (multiplicity 1)
W: 0.0000 0.0000 0.5000 (multiplicity 3)

Results
E_form (uncorrected)   1.61 eV/atom
Calculated volume   19.58 A^3/atom

=====

Entry 3:
The following is a DFT calculation (PBE) of a geometry-optimized YTeP2 structure.

a b c (Å): 4.0976 4.0976 19.1666
angles (deg): 90.00 90.00 120.00
Space group R-3m (No. 166, hexagonal axes)
Symmetry-distinct sites (fractional):
Y: 0.0000 0.0000 0.0000 (multiplicity 3)
Te: 0.0000 0.0000 0.5000 (multiplicity 3)
P: 0.0000 0.0000 0.2497 (multiplicity 6)

Results
E_form (uncorrected)   -0.31 eV/atom
Calculated volume   23.22 A^3/atom

=====

Entry 4:
The following is a DFT calculation (PBE) of a geometry-optimized ZrHg2Pb structure.

a b c (Å): 3.4178 5.1814 5.4482
angles (deg): 90.00 90.00 90.00
Space group Pmm2 (No. 25)
Symmetry-distinct sites (fractional):
Zr: 0.0000 0.0000 0.0000 (multiplicity 1)
Hg: 0.0000 0.5000 0.5584 (multiplicity 1)
Hg: 0.5000 0.0000 0.5098 (multiplicity 1)
Pb: 0.5000 0.5000 0.0524 (multiplicity 1)

Results
Calculated volume   24.12 A^3/atom
Calculated formation energy   0.0169 eV per atom

=====

Entry 5:
The following is a DFT calculation (PBE) of a geometry-optimized Tc2SbTe structure.

a b c (Å): 3.2342 4.9341 4.6559
angles (deg): 90.00 90.00 90.00
Space group Pmm2 (No. 25)
Symmetry-distinct sites (fractional):
Tc: 0.0000 0.0000 0.0000 (multiplicity 1)
Tc: 0.5000 0.5000 0.2157 (multiplicity 1)
Sb: 0.5000 0.0000 0.4730 (multiplicity 1)
Te: 0.0000 0.5000 0.7613 (multiplicity 1)

Results
E_form (uncorrected)   0.21 eV/atom
Calculated volume   18.57 A^3/atom

=====

Entry 6:
The following is a DFT calculation (PBE) of a geometry-optimized SrCoSb2 structure.

a b c (Å): 4.1451 4.1451 20.2048
angles (deg): 90.00 90.00 120.00
Space group R-3m (No. 166, hexagonal axes)
Symmetry-distinct sites (fractional):
Sr: 0.0000 0.0000 0.0000 (multiplicity 3)
Co: 0.0000 0.0000 0.5000 (multiplicity 3)
Sb: 0.0000 0.0000 0.2193 (multiplicity 6)

Results
E_form (uncorrected)   -0.40 eV/atom
Calculated volume   25.06 A^3/atom

=====

Entry 7:
The following is a DFT calculation (PBE) of a geometry-optimized TiVCd2 structure.

a b c (Å): 7.6202 7.6202 5.4716
angles (deg): 90.00 90.00 90.00
Space group I-42d (No. 122)
Symmetry-distinct sites (fractional):
Ti: 0.0000 0.0000 0.0000 (multiplicity 4)
V: 0.0000 0.0000 0.5000 (multiplicity 4)
Cd: 0.2411 0.2500 0.6250 (multiplicity 8)

Results
Calculated volume   19.86 A^3/atom
Calculated formation energy   0.6434 eV per atom

=====

Entry 8:
The following is a DFT calculation (PBE) of a geometry-optimized Pm7HoTh3 structure.

a b c (Å): 6.5151 6.8032 8.8234
angles (deg): 101.58 97.50 97.55
Space group P-1 (No. 2)
Symmetry-distinct sites (fractional):
Pm: 0.0000 0.0000 0.0000 (multiplicity 1)
Pm: 0.0737 0.7168 0.6448 (multiplicity 2)
Pm: 0.1981 0.2301 0.7021 (multiplicity 2)
Pm: 0.4928 0.7300 0.9240 (multiplicity 2)
Ho: 0.0000 0.5000 0.0000 (multiplicity 1)
Th: 0.3337 0.9477 0.3348 (multiplicity 2)
Th: 0.5000 0.5000 0.5000 (multiplicity 1)

Results
Calculated volume   34.07 A^3/atom
Calculated formation energy   0.1672 eV per atom

=====

Calculated Fermi-level density of states, 0.86, 1.27, 0.55, 0.48, 0.89, 0.47, 1.28, 1.55 states/eV/atom (same order as the records).
Calculated calculated total energy, -5.278, -8.811, -5.421, -3.198, -6.790, -4.661, -4.068, -5.296 eV/atom (same order as the records).